An optimized crystal structure of Ni2GeF. Source: Alexandria, functional GGA+U.

```
data_Ni2GeF
_chemical_formula_sum 'Ni8 Ge4 F4'
_space_group_name_H-M_alt 'F m -3 m'
_space_group_IT_number 225
_space_group_name_Hall '-F 4 2 3'
_cell_length_a 5.662
_cell_length_b 5.662
_cell_length_c 5.662
_cell_angle_alpha 90.00
_cell_angle_beta 90.00
_cell_angle_gamma 90.00
loop_
_atom_site_label
_atom_site_type_symbol
_atom_site_fract_x
_atom_site_fract_y
_atom_site_fract_z
Ni1 Ni 0.250 0.250 0.250
Ge1 Ge 0.000 0.000 0.000
F1 F 0.000 0.000 0.500
```

Mass density: 7.65 g/cm3
E_tot: -2.616 eV per atom
Crystal system: cubic
V: 11.3 Å³ per atom